[1]
A plane-wave DFT calculation with GGA-PBE was carried out for an optimized crystal structure of SrNi3Rh.

Output
E_form   0.48 eV per atom
ΔE to the lowest computed polymorph   2.09 eV per formula unit
Symmetry   Pm-3m (221)

Lattice parameters (Å, degrees): 4.6531 4.6531 4.6531 90.00 90.00 90.00
With the nearest neighbours (Å) after each atom.
Sites, in units of the cell vectors:
Sr1 0.0000 0.0000 0.0000  12 Ni 3.29
Ni1 0.0000 0.5000 0.5000  2 Rh 2.33
Ni2 0.5000 0.0000 0.5000  2 Rh 2.33
Ni3 0.5000 0.5000 0.0000  2 Rh 2.33
Rh1 0.5000 0.5000 0.5000  6 Ni 2.33

[2]
A plane-wave DFT calculation with GGA-PBE was carried out for an optimized crystal structure of Tb2PmCu3.

Output
E_form   -0.22 eV per atom
Symmetry   P4/mmm (123)

Lattice parameters (Å, degrees): 3.5005 3.5005 10.5768 90.00 90.00 90.00
With the nearest neighbours (Å) after each atom.
Sites, in units of the cell vectors:
Tb1 0.0000 0.0000 0.1640  8 Cu 3.00-3.02
Tb2 0.0000 0.0000 0.8360  8 Cu 3.00-3.02
Pm1 0.0000 0.0000 0.5000  8 Cu 3.10
Cu1 0.5000 0.5000 0.0000  8 Tb 3.02
Cu2 0.5000 0.5000 0.3239  4 Tb 3.00, 4 Pm 3.10
Cu3 0.5000 0.5000 0.6761  4 Tb 3.00, 4 Pm 3.10

[3]
A plane-wave DFT calculation with GGA-PBE was carried out for an optimized crystal structure of Ir6OsPd.

Output
E_form   0.03 eV per atom
Symmetry   P4/mmm (123)

Lattice parameters (Å, degrees): 3.8699 3.8699 7.7778 90.00 90.00 90.00
With the nearest neighbours (Å) after each atom.
Sites, in units of the cell vectors:
Ir1 0.0000 0.0000 0.0000  8 Ir 2.71, 4 Os 2.74
Ir2 0.0000 0.0000 0.5000  4 Pd 2.74, 8 Ir 2.78
Ir3 0.0000 0.5000 0.2434  2 Os 2.71, 8 Ir 2.71-2.78, 2 Pd 2.78
Ir4 0.0000 0.5000 0.7566  2 Os 2.71, 8 Ir 2.71-2.78, 2 Pd 2.78
Ir5 0.5000 0.0000 0.2434  2 Os 2.71, 8 Ir 2.71-2.78, 2 Pd 2.78
Ir6 0.5000 0.0000 0.7566  2 Os 2.71, 8 Ir 2.71-2.78, 2 Pd 2.78
Os1 0.5000 0.5000 0.0000  12 Ir 2.71-2.74
Pd1 0.5000 0.5000 0.5000  12 Ir 2.74-2.78

[4]
A plane-wave DFT calculation with GGA-PBE was carried out for an optimized crystal structure of KSr2Tl2Pb2.

Output
E_form   -0.24 eV per atom
Symmetry   R-3m (166)

Lattice parameters (Å, degrees): 10.7224 10.7224 10.7224 30.03 30.03 30.03
With the nearest neighbours (Å) after each atom.
Sites, in units of the cell vectors:
K1 0.0000 0.0000 0.0000  6 Pb 4.01, 2 Sr 4.10
Sr1 0.1337 0.1337 0.1337  3 Tl 3.32, 3 Pb 3.63
Sr2 0.8663 0.8663 0.8663  3 Tl 3.32, 3 Pb 3.63
Tl1 0.4394 0.4394 0.4394  3 Pb 3.32, 3 Sr 3.32
Tl2 0.5606 0.5606 0.5606  3 Pb 3.32, 3 Sr 3.32
Pb1 0.2548 0.2548 0.2548  3 Tl 3.32, 3 Sr 3.63
Pb2 0.7452 0.7452 0.7452  3 Tl 3.32, 3 Sr 3.63

[5]
A plane-wave DFT calculation with GGA-PBE was carried out for an optimized crystal structure of AcEr2Al6.

Output
E_form   -0.37 eV per atom
Symmetry   P6/mmm (191)

Lattice parameters (Å, degrees): 8.0182 8.0182 3.6520 90.00 90.00 120.00
With the nearest neighbours (Å) after each atom.
Sites, in units of the cell vectors:
Ac1 0.0000 0.0000 0.0000  12 Al 3.28, 2 Ac 3.65
Er1 0.3333 0.6667 0.0000  12 Al 3.22
Er2 0.6667 0.3333 0.0000  12 Al 3.22
Al1 0.0000 0.3397 0.5000  3 Al 2.57-2.72
Al2 0.0000 0.6603 0.5000  3 Al 2.57-2.72
Al3 0.3397 0.0000 0.5000  3 Al 2.57-2.72
Al4 0.3397 0.3397 0.5000  3 Al 2.57-2.72
Al5 0.6603 0.0000 0.5000  3 Al 2.57-2.72
Al6 0.6603 0.6603 0.5000  3 Al 2.57-2.72

[6]
A plane-wave DFT calculation with GGA-PBE was carried out for an optimized crystal structure of ReSi2Rh.

Output
ΔE to the lowest computed polymorph   0.31 eV per formula unit
ΔE_f (raw)   -0.37 eV per atom
Symmetry   P4mm (99)

Lattice parameters (Å, degrees): 3.1857 3.1857 5.4210 90.00 90.00 90.00
With the nearest neighbours (Å) after each atom.
Sites, in units of the cell vectors:
Re1 0.0000 0.0000 0.0000  5 Si 2.47-2.49
Si1 0.0000 0.0000 0.5410  4 Rh 2.47, 1 Re 2.49, 4 Si 2.69
Si2 0.5000 0.5000 0.8131  4 Re 2.47, 1 Rh 2.48, 4 Si 2.69
Rh1 0.5000 0.5000 0.3558  5 Si 2.47-2.48

[7]
A plane-wave DFT calculation with GGA-PBE was carried out for an optimized crystal structure of AcHoPt2.

Output
E_form   -1.03 eV per atom
ΔE to the lowest computed polymorph   0.46 eV per formula unit
Symmetry   Fm-3m (225)

Lattice parameters (Å, degrees): 5.1535 5.1535 5.1535 60.00 60.00 60.00
With the nearest neighbours (Å) after each atom.
Sites, in units of the cell vectors:
Ac1 0.0000 0.0000 0.0000  8 Pt 3.16
Ho1 0.5000 0.5000 0.5000  8 Pt 3.16
Pt1 0.2500 0.2500 0.2500  4 Ac 3.16, 4 Ho 3.16
Pt2 0.7500 0.7500 0.7500  4 Ac 3.16, 4 Ho 3.16

[8]
A plane-wave DFT calculation with GGA-PBE was carried out for an optimized crystal structure of Zn2CoHg.

Output
E_form   0.36 eV per atom
Symmetry   I-42d (122)

Lattice parameters (Å, degrees): 9.4834 9.4834 9.4834 156.66 156.66 33.25
With the nearest neighbours (Å) after each atom.
Sites, in units of the cell vectors:
Zn1 0.0863 0.6250 0.9613  2 Zn 2.51, 2 Co 2.60, 2 Hg 2.70
Zn2 0.3750 0.3363 0.4613  2 Zn 2.51, 2 Co 2.60, 2 Hg 2.70
Zn3 0.6637 0.1250 0.0387  2 Zn 2.51, 2 Co 2.60, 2 Hg 2.70
Zn4 0.8750 0.9137 0.5387  2 Zn 2.51, 2 Co 2.60, 2 Hg 2.70
Co1 0.0000 0.0000 0.0000  4 Zn 2.60, 4 Hg 2.71
Co2 0.7500 0.2500 0.5000  4 Zn 2.60, 4 Hg 2.71
Hg1 0.2500 0.7500 0.5000  4 Zn 2.70, 4 Co 2.71
Hg2 0.5000 0.5000 0.0000  4 Zn 2.70, 4 Co 2.71

[9]
A plane-wave DFT calculation with GGA-PBE was carried out for an optimized crystal structure of TbSmThTl.

Output
E_form   0.05 eV per atom
Symmetry   F-43m (216)

Lattice parameters (Å, degrees): 5.5161 5.5161 5.5161 60.00 60.00 60.00
With the nearest neighbours (Å) after each atom.
Sites, in units of the cell vectors:
Tb1 0.0000 0.0000 0.0000  4 Tl 3.38, 4 Th 3.38
Sm1 0.5000 0.5000 0.5000  4 Tl 3.38, 4 Th 3.38
Th1 0.2500 0.2500 0.2500  4 Tb 3.38, 4 Sm 3.38
Tl1 0.7500 0.7500 0.7500  4 Sm 3.38, 4 Tb 3.38

[10]
A plane-wave DFT calculation with GGA-PBE was carried out for an optimized crystal structure of InNiB.

Output
E_form   0.04 eV per atom
Symmetry   Cmcm (63)

Lattice parameters (Å, degrees): 9.3576 9.3576 3.0254 90.00 90.00 161.31
With the nearest neighbours (Å) after each atom.
Sites, in units of the cell vectors:
In1 0.1793 0.8207 0.7500  2 Ni 2.76, 4 In 3.03-3.04
In2 0.8207 0.1793 0.2500  2 Ni 2.76, 4 In 3.03-3.04
Ni1 0.0546 0.9454 0.2500  6 B 2.08-2.22
Ni2 0.9454 0.0546 0.7500  6 B 2.08-2.22
B1 0.4773 0.5227 0.2500  2 B 1.73
B2 0.5227 0.4773 0.7500  2 B 1.73

[11]
A plane-wave DFT calculation with GGA-PBE was carried out for an optimized crystal structure of NdTm2Tl.

Output
E_form   -0.10 eV per atom
ΔE to the lowest computed polymorph   0.27 eV per formula unit
Symmetry   Cmcm (63)

Lattice parameters (Å, degrees): 6.6435 6.6435 8.6466 90.00 90.00 139.28
With the nearest neighbours (Å) after each atom.
Sites, in units of the cell vectors:
Nd1 0.0568 0.9432 0.7500  3 Tl 3.50-3.60, 8 Tm 3.62-3.74
Nd2 0.9432 0.0568 0.2500  3 Tl 3.50-3.60, 8 Tm 3.62-3.74
Tm1 0.3646 0.6354 0.5522  3 Tl 3.09-3.12, 1 Tm 3.42
Tm2 0.3646 0.6354 0.9478  3 Tl 3.09-3.12, 1 Tm 3.42
Tm3 0.6354 0.3646 0.0522  3 Tl 3.09-3.12, 1 Tm 3.42
Tm4 0.6354 0.3646 0.4478  3 Tl 3.09-3.12, 1 Tm 3.42
Tl1 0.2325 0.7675 0.2500  6 Tm 3.09-3.12
Tl2 0.7675 0.2325 0.7500  6 Tm 3.09-3.12

[12]
A plane-wave DFT calculation with GGA-PBE was carried out for an optimized crystal structure of Ta2TcAg.

Output
E_form   0.25 eV per atom
ΔE to the lowest computed polymorph   0.76 eV per formula unit
Symmetry   R-3m (166)

Lattice parameters (Å, degrees): 9.4908 9.4908 9.4908 17.75 17.75 17.75
With the nearest neighbours (Å) after each atom.
Sites, in units of the cell vectors:
Ta1 0.2443 0.2443 0.2443  3 Tc 2.76, 6 Ta 2.93, 3 Ag 3.01
Ta2 0.7557 0.7557 0.7557  3 Tc 2.76, 6 Ta 2.93, 3 Ag 3.01
Tc1 0.5000 0.5000 0.5000  6 Ta 2.76, 6 Tc 2.93
Ag1 0.0000 0.0000 0.0000  6 Ag 2.93, 6 Ta 3.01